No. 1
! CsTePd (PBE, optimized geometry); values from VASP
&SYSTEM
  ibrav = 0, nat = 6, ntyp = 3
/
ATOMIC_SPECIES
Cs 132.91 Cs.upf
Te 127.60 Te.upf
Pd 106.42 Pd.upf
CELL_PARAMETERS angstrom
-2.2195 -3.7915 1.7087
0.1330 -5.4499 -5.2893
3.8931 -7.1063 2.4307
ATOMIC_POSITIONS crystal
Cs 0.8091 0.7888 0.7996
Cs 0.1865 0.2080 0.2048
Te 0.1531 0.2594 0.7166
Te 0.8423 0.7374 0.2880
Pd 0.6850 0.4157 0.6063
Pd 0.3106 0.5810 0.3982
! Raw formation energy (eV/atom): -0.710
! E (Ry/atom): -0.277

---

No. 2
! CsTePd2 (PBE, optimized geometry); values from VASP
&SYSTEM
  ibrav = 0, nat = 8, ntyp = 3
/
ATOMIC_SPECIES
Cs 132.91 Cs.upf
Te 127.60 Te.upf
Pd 106.42 Pd.upf
CELL_PARAMETERS angstrom
4.7255 -0.8438 0.0000
-3.5236 7.5100 0.0000
0.0000 0.0000 7.5180
ATOMIC_POSITIONS crystal
Cs 0.1453 0.8962 0.7500
Cs 0.8547 0.1038 0.2500
Te 0.8551 0.6054 0.2500
Te 0.1449 0.3946 0.7500
Pd 0.3277 0.5779 0.4341
Pd 0.6723 0.4221 0.5659
Pd 0.3277 0.5779 0.0659
Pd 0.6723 0.4221 0.9341
! Raw formation energy (eV/atom): -0.493
! E (Ry/atom): -0.300

---

No. 3
! CsTePd2 (PBE, optimized geometry); values from VASP
&SYSTEM
  ibrav = 0, nat = 4, ntyp = 3
/
ATOMIC_SPECIES
Cs 132.91 Cs.upf
Te 127.60 Te.upf
Pd 106.42 Pd.upf
CELL_PARAMETERS angstrom
4.7067 0.0000 0.0000
2.3533 4.0761 0.0000
2.3533 1.3587 6.3752
ATOMIC_POSITIONS crystal
Cs 0.5000 0.5000 0.5000
Te 0.0000 0.0000 0.0000
Pd 0.3159 0.3159 0.0522
Pd 0.6841 0.6841 0.9478
! Raw formation energy (eV/atom): -0.451
! E (Ry/atom): -0.297

---

No. 4
! Cs2Te3Pd (PBE, optimized geometry); values from VASP
&SYSTEM
  ibrav = 0, nat = 12, ntyp = 3
/
ATOMIC_SPECIES
Cs 132.91 Cs.upf
Te 127.60 Te.upf
Pd 106.42 Pd.upf
CELL_PARAMETERS angstrom
6.7391 0.0000 0.0000
0.0000 8.9872 0.3534
0.0000 -3.4338 8.3129
ATOMIC_POSITIONS crystal
Cs 0.7620 0.1941 0.4833
Cs 0.2620 0.5167 0.8059
Cs 0.2620 0.8059 0.5167
Cs 0.7620 0.4833 0.1941
Te 0.5108 0.1321 0.8689
Te 0.0108 0.1311 0.8679
Te 0.2618 0.3370 0.3370
Te 0.7618 0.6630 0.6630
Te 0.0108 0.8679 0.1311
Te 0.5108 0.8689 0.1321
Pd 0.7605 0.9317 0.9317
Pd 0.2605 0.0683 0.0683
! Raw formation energy (eV/atom): -0.604
! E (Ry/atom): -0.244

---

No. 5
! Cs3TePd (PBE, optimized geometry); values from VASP
&SYSTEM
  ibrav = 0, nat = 5, ntyp = 3
/
ATOMIC_SPECIES
Cs 132.91 Cs.upf
Te 127.60 Te.upf
Pd 106.42 Pd.upf
CELL_PARAMETERS angstrom
-5.7267 2.2317 0.6719
-2.3240 -5.3334 -2.0933
-0.1760 -2.1914 5.7788
ATOMIC_POSITIONS crystal
Cs 0.0000 0.5000 0.0000
Cs 0.0000 0.0000 0.5000
Cs 0.5000 0.0000 0.0000
Te 0.5000 0.5000 0.5000
Pd 0.0000 0.0000 0.0000
! Raw formation energy (eV/atom): -0.307
! E (Ry/atom): -0.183

---

No. 6
! CsTe3Pd (PBE, optimized geometry); values from VASP
&SYSTEM
  ibrav = 0, nat = 10, ntyp = 3
/
ATOMIC_SPECIES
Cs 132.91 Cs.upf
Te 127.60 Te.upf
Pd 106.42 Pd.upf
CELL_PARAMETERS angstrom
-1.4466 3.2388 3.9755
-6.9632 -3.9758 -2.8649
3.4250 -5.5567 5.7733
ATOMIC_POSITIONS crystal
Cs 0.3202 0.6404 0.6660
Cs 0.6798 0.3596 0.3340
Te 0.0419 0.0838 0.1598
Te 0.9581 0.9162 0.8402
Te 0.7019 0.4038 0.9007
Te 0.2981 0.5962 0.0993
Te 0.9126 0.8253 0.4190
Te 0.0874 0.1747 0.5810
Pd 0.1346 0.2691 0.9122
Pd 0.8654 0.7309 0.0878
! Raw formation energy (eV/atom): -0.379
! E (Ry/atom): -0.255

---

No. 7
! CsTe2Pd (PBE, optimized geometry); values from VASP
&SYSTEM
  ibrav = 0, nat = 4, ntyp = 3
/
ATOMIC_SPECIES
Cs 132.91 Cs.upf
Te 127.60 Te.upf
Pd 106.42 Pd.upf
CELL_PARAMETERS angstrom
-8.1824 -3.5899 -5.0750
-6.8328 -7.0328 -3.0735
-9.2871 -4.2649 -1.0744
ATOMIC_POSITIONS crystal
Cs 0.0000 0.0000 0.0000
Te 0.8777 0.8777 0.8777
Te 0.1223 0.1223 0.1223
Pd 0.5000 0.5000 0.5000
! Raw formation energy (eV/atom): -0.274
! E (Ry/atom): -0.247

---

No. 8
! CsTe3Pd (PBE, optimized geometry); values from VASP
&SYSTEM
  ibrav = 0, nat = 5, ntyp = 3
/
ATOMIC_SPECIES
Cs 132.91 Cs.upf
Te 127.60 Te.upf
Pd 106.42 Pd.upf
CELL_PARAMETERS angstrom
5.4927 0.0000 0.0000
0.0000 5.4927 0.0000
0.0000 0.0000 5.4927
ATOMIC_POSITIONS crystal
Cs 0.5000 0.5000 0.5000
Te 0.0000 0.5000 0.0000
Te 0.0000 0.0000 0.5000
Te 0.5000 0.0000 0.0000
Pd 0.0000 0.0000 0.0000
! Raw formation energy (eV/atom): -0.260
! E (Ry/atom): -0.247

---

| no. | total magnetization (μB/cell) |
| --- | --- |
| 1 | 0.00 |
| 2 | 0.00 |
| 3 | 0.00 |
| 4 | 0.00 |
| 5 | 0.00 |
| 6 | 0.00 |
| 7 | 0.00 |
| 8 | 0.00 |